[1]
RuPbCl2 GGA-PBE relaxed; distance to the lowest polymorph of the same formula = 151 meV/atom; uncorrected energy = -4.22 eV/atom; ρ = 5.8 g/cm3; space group = No. 166
1.0
2.040 0.000 10.070
-1.020 1.767 10.070
-1.020 -1.767 10.070
Pb Ru Cl
1 1 2
Direct
0.000 0.000 0.000
0.500 0.500 0.500
0.875 0.875 0.875
0.125 0.125 0.125

***

[2]
Y3PbO GGA-PBE relaxed; uncorrected energy = -6.99 eV/atom; ρ = 6.7 g/cm3; space group = No. 11
1.0
6.548 0.000 -0.002
0.000 5.757 -0.009
0.005 -0.373 6.410
Y Pb O
6 2 2
Direct
0.134 0.684 0.229
0.881 0.204 0.470
0.381 0.659 0.729
0.128 0.179 0.970
0.633 0.179 0.970
0.628 0.684 0.229
0.381 0.150 0.462
0.881 0.712 0.737
0.881 0.399 0.173
0.381 0.463 0.026

***

[3]
PmTcO5 GGA-PBE relaxed; distance to the lowest polymorph of the same formula = 13 meV/atom; uncorrected energy = -7.68 eV/atom; ρ = 5.2 g/cm3; space group = No. 15
1.0
5.607 0.045 -0.032
1.821 5.303 -0.032
2.626 1.891 6.920
Pm Tc O
2 2 10
Direct
0.557 0.443 0.250
0.443 0.557 0.750
0.000 0.000 0.000
0.000 0.000 0.500
0.797 0.764 0.112
0.276 0.701 0.463
0.764 0.797 0.612
0.931 0.069 0.250
0.299 0.724 0.037
0.701 0.276 0.963
0.069 0.931 0.750
0.236 0.203 0.388
0.724 0.299 0.537
0.203 0.236 0.888

***

[4]
CuBiN GGA-PBE relaxed; uncorrected energy = -5.15 eV/atom; ρ = 7.5 g/cm3; space group = No. 5
1.0
3.388 -0.035 -0.441
1.647 2.885 -0.784
-0.983 -2.149 13.499
N Bi Cu
2 2 2
Direct
0.801 0.699 0.671
0.801 0.841 0.762
0.468 0.885 0.366
0.468 0.988 0.067
0.800 0.469 0.523
0.800 0.071 0.910

***

[5]
Nb3SbPt GGA-PBE relaxed; distance to the lowest polymorph of the same formula = 0 meV/atom; uncorrected energy = -7.23 eV/atom; ρ = 8.3 g/cm3; space group = No. 221
1.0
4.922 0.000 0.000
0.000 4.922 0.000
0.000 0.000 4.922
Sb Nb Pt
1 3 1
Direct
0.500 0.500 0.500
0.000 0.500 0.000
0.000 0.000 0.500
0.500 0.000 0.000
0.000 0.000 0.000

***

[6]
ZrTaAg GGA-PBE relaxed; distance to the lowest polymorph of the same formula = 373 meV/atom; uncorrected energy = -7.42 eV/atom; ρ = 10.7 g/cm3; space group = No. 187; energy of formation from the pure elements = 0.328 eV/atom
1.0
4.942 0.000 0.000
-2.471 4.280 0.000
0.000 0.000 2.790
Ag Ta Zr
1 1 1
Direct
0.000 0.000 0.167
0.667 0.333 0.167
0.333 0.667 0.667

***

[7]
RbHoBr4 GGA-PBE relaxed; distance to the lowest polymorph of the same formula = 0 meV/atom; uncorrected energy = -3.89 eV/atom; ρ = 3.1 g/cm3; space group = No. 15
1.0
-1.408 -4.294 5.808
4.455 -6.740 -5.674
5.586 6.740 4.566
Rb Ho Br
2 2 8
Direct
0.250 0.759 0.741
0.750 0.241 0.259
0.750 0.935 0.565
0.250 0.065 0.435
0.306 0.997 0.145
0.194 0.355 0.503
0.366 0.787 0.402
0.634 0.213 0.598
0.866 0.902 0.287
0.806 0.645 0.497
0.134 0.098 0.713
0.694 0.003 0.855

***

[8]
Tb6PmSm2 GGA-PBE relaxed; distance to the lowest polymorph of the same formula = 0 meV/atom; uncorrected energy = -4.56 eV/atom; ρ = 7.8 g/cm3; space group = No. 12; energy of formation from the pure elements = 0.103 eV/atom
1.0
3.451 0.003 0.612
0.947 8.638 4.579
0.025 -0.276 9.818
Tb Pm Sm
6 1 2
Direct
0.821 0.344 0.011
0.179 0.989 0.656
0.179 0.656 0.989
0.500 0.316 0.684
0.821 0.011 0.344
0.500 0.684 0.316
0.000 0.000 0.000
0.843 0.658 0.658
0.157 0.342 0.342

***

> Which of these has the highest uncorrected energy?

RbHoBr4